No. 1
Compound: Tb2CuNi2
Source: Alexandria
Functional: PBE
Structure: optimized geometry

Summary:
Energy ... -5.3582 eV/atom
E_form ... -0.3743 eV per atom
Space-group type ... C2/c
Crystal system ... monoclinic

Geometry as POSCAR:
```
Tb2CuNi2
1.0
5.274 0.132 0.183
2.501 4.645 0.183
1.380 0.848 7.561
Tb Cu Ni
4 2 4
Direct
0.491 0.210 0.150
0.790 0.509 0.350
0.509 0.790 0.850
0.210 0.491 0.650
0.151 0.849 0.250
0.849 0.151 0.750
0.731 0.001 0.504
0.999 0.269 0.996
0.269 0.999 0.496
0.001 0.731 0.004
```



No. 2
Compound: La2MnI
Source: Alexandria
Functional: PBE
Structure: optimized geometry

Summary:
Energy ... -4.9234 eV/atom
Relative energy among the computed polymorphs ... 1.31 eV/f.u.
Space-group type ... Fm-3m
Formation energy from raw total energies ... 220 meV per atom
Crystal system ... cubic

Geometry as POSCAR:
```
La2MnI
1.0
0.215 0.553 5.327
-3.967 2.501 2.597
-3.341 -2.797 3.122
I Mn La
1 1 2
Direct
0.500 0.500 0.500
0.000 0.000 0.000
0.250 0.250 0.250
0.750 0.750 0.750
```



No. 3
Compound: LaCrPt2
Source: Alexandria
Functional: PBE
Structure: optimized geometry

Summary:
Energy ... -6.5969 eV/atom
Relative energy among the computed polymorphs ... 2.89 eV/f.u.
E_form ... 0.0612 eV per atom
Space-group type ... R-3m
Crystal system ... trigonal

Geometry as POSCAR:
```
LaCrPt2
1.0
-6.766 -0.262 6.844
-7.165 -3.021 5.677
-5.049 -2.564 7.786
Cr La Pt
1 1 2
Direct
0.250 0.250 0.250
0.750 0.750 0.750
0.988 0.988 0.988
0.512 0.512 0.512
```



Number 1: DOS at the Fermi energy 0.69 states/eV per atom. Number 2: DOS at the Fermi energy 1.86 states/eV per atom. Number 3: DOS at the Fermi energy 1.09 states/eV per atom.